Material: NaCd2Au9
Method: DFT, GGA-PBE
State: relaxed

Computed properties:
- space group = R-3m
- M_tot (μB/atom) = 0.000
- E_form (eV per formula unit) = -1.5

Structure (POSCAR):
```
NaCd2Au9
1.0
-0.967 5.276 1.623
-3.484 1.025 4.268
5.539 1.586 7.819
Na Cd Au
1 2 9
Cartesian
0.000 0.000 0.000 Na
-1.463 6.083 8.382 Cd
2.551 1.805 5.328 Cd
-2.965 4.201 3.929 Au
4.053 3.687 9.781 Au
0.544 3.944 6.855 Au
-0.415 3.004 4.433 Au
-0.905 5.679 5.255 Au
-2.181 3.524 6.596 Au
1.503 4.883 9.277 Au
3.269 4.364 7.113 Au
1.993 2.209 8.454 Au
```